# 1
# AcPt10Pb

A geometry-optimized AcPt10Pb structure (GGA-PBE, Alexandria).

a b c (Å): 4.4286 5.5008 9.4586
angles (deg): 90.00 90.00 90.00
Element x y z (fractional)
1 Ac 0.0000 0.0000 0.0000
2 Pt 0.0000 0.0000 0.3396
3 Pt 0.0000 0.0000 0.6604
4 Pt 0.0000 0.5000 0.1751
5 Pt 0.0000 0.5000 0.8249
6 Pt 0.5000 0.0000 0.5000
7 Pt 0.5000 0.2475 0.2482
8 Pt 0.5000 0.2475 0.7518
9 Pt 0.5000 0.5000 0.0000
10 Pt 0.5000 0.7525 0.2482
11 Pt 0.5000 0.7525 0.7518
12 Pb 0.0000 0.5000 0.5000

Results
Crystal system ... orthorhombic
Size of the total moment ... 0.00 μB/atom
Formation energy ... -429.0 meV per atom
Electronic total energy ... -6.114 eV per atom

***

# 2
# Ac2Pt3Pb2

A geometry-optimized Ac2Pt3Pb2 structure (GGA-PBE, Alexandria).

a b c (Å): 10.6441 10.6441 8.0595
angles (deg): 90.00 90.00 156.21
Element x y z (fractional)
1 Ac 0.0506 0.9494 0.7500
2 Ac 0.1434 0.8566 0.2500
3 Ac 0.8566 0.1434 0.7500
4 Ac 0.9494 0.0506 0.2500
5 Pt 0.2224 0.7776 0.7500
6 Pt 0.4430 0.5570 0.5711
7 Pt 0.4430 0.5570 0.9289
8 Pt 0.5570 0.4430 0.0711
9 Pt 0.5570 0.4430 0.4289
10 Pt 0.7776 0.2224 0.2500
11 Pb 0.3116 0.6884 0.0492
12 Pb 0.3116 0.6884 0.4508
13 Pb 0.6884 0.3116 0.5492
14 Pb 0.6884 0.3116 0.9508

Results
Crystal system ... orthorhombic
Size of the total moment ... 0.00 μB/atom
Formation energy ... -777.7 meV per atom
Electronic total energy ... -5.600 eV per atom

***

# 3
# Ac2Pt2Pb

A geometry-optimized Ac2Pt2Pb structure (GGA-PBE, Alexandria).

a b c (Å): 8.3081 8.3081 4.0210
angles (deg): 90.00 90.00 90.00
Element x y z (fractional)
1 Ac 0.1733 0.3267 0.0000
2 Ac 0.3267 0.8267 0.0000
3 Ac 0.6733 0.1733 0.0000
4 Ac 0.8267 0.6733 0.0000
5 Pt 0.1254 0.6254 0.5000
6 Pt 0.3746 0.1254 0.5000
7 Pt 0.6254 0.8746 0.5000
8 Pt 0.8746 0.3746 0.5000
9 Pb 0.0000 0.0000 0.5000
10 Pb 0.5000 0.5000 0.5000

Results
Crystal system ... tetragonal
Size of the total moment ... 0.00 μB/atom
Formation energy ... -998.8 meV per atom
Electronic total energy ... -5.800 eV per atom

***

# 4
# AcPt2Pb2

A geometry-optimized AcPt2Pb2 structure (GGA-PBE, Alexandria).

a b c (Å): 5.9822 5.9822 5.5689
angles (deg): 105.53 105.53 44.04
Element x y z (fractional)
1 Ac 0.0000 0.0000 0.0000
2 Pt 0.2778 0.2778 0.8607
3 Pt 0.7222 0.7222 0.1393
4 Pb 0.3514 0.3514 0.4158
5 Pb 0.6486 0.6486 0.5842

Results
Crystal system ... monoclinic
Size of the total moment ... 0.00 μB/atom
Formation energy ... -592.9 meV per atom
Electronic total energy ... -5.314 eV per atom
Energy above the most stable polymorph in this dataset ... 0.008 eV per atom